Compound: NaMn2Cl6
Source: the Alexandria database
Functional: PBE-GGA
Structure: optimized geometry

a b c (Å): 6.3874 6.3874 6.2291
angles (deg): 90.00 90.00 120.00
Space group P-31m (No. 162)
Symmetry-distinct sites (fractional):
1 Na 0.0000 0.0000 0.0000
2 Mn 0.3333 0.6667 0.5000
3 Cl 0.0000 0.3678 0.7229

Computed properties:
N(E_F) (states/eV per atom): 0.75
Relative energy among the computed polymorphs (eV per atom): 0.000
Formation energy from raw total energies (kcal/mol of atoms): -27.38